[1]
Material: K2InAsH
Method: DFT, PBE
State: optimized geometry

Cell lengths 6.898, 5.344, 8.232 Å; angles 90.00, 106.53, 90.00 degrees
Atoms (fractional coordinates):
K: 0.099 0.250 0.368
K: 0.264 0.250 0.939
K: 0.736 0.750 0.061
K: 0.901 0.750 0.632
In: 0.439 0.750 0.342
In: 0.561 0.250 0.658
As: 0.410 0.750 0.682
As: 0.590 0.250 0.318
H: 0.148 0.750 0.208
H: 0.852 0.250 0.792

Output
Calculated total energy ... -2.83 eV/atom
Calculated density ... 3.07 Mg/m³

[2]
Material: Na2CuPdBr6
Method: DFT, PBE
State: optimized geometry

Cell lengths 7.010, 7.132, 12.134 Å; angles 90.00, 121.70, 90.00 degrees
Atoms (fractional coordinates):
Na: 0.203 0.074 0.234
Na: 0.203 0.426 0.734
Na: 0.797 0.574 0.266
Na: 0.797 0.926 0.766
Cu: 0.000 0.000 0.500
Cu: 0.000 0.500 0.000
Pd: 0.500 0.000 0.000
Pd: 0.500 0.500 0.500
Br: 0.139 0.217 0.949
Br: 0.139 0.283 0.449
Br: 0.245 0.701 0.943
Br: 0.245 0.799 0.443
Br: 0.379 0.032 0.766
Br: 0.379 0.468 0.266
Br: 0.621 0.532 0.734
Br: 0.621 0.968 0.234
Br: 0.755 0.201 0.557
Br: 0.755 0.299 0.057
Br: 0.861 0.717 0.551
Br: 0.861 0.783 0.051

Output
Uncorrected formation energy ... -756 meV per atom
Calculated density ... 4.47 Mg/m³